Entry 1:
Crystalline Cu2SiCl at its relaxed geometry, computed with GGA-PBE.

abc: 2.984 5.257 4.263
angles: 90.00 102.25 90.00
Atoms (fractional coordinates):
Cu1 0.000 0.000 0.000
Cu2 0.169 0.500 0.731
Si1 0.365 0.000 0.556
Cl1 0.858 0.500 0.195


Entry 2:
Crystalline CuSi2Cl at its relaxed geometry, computed with GGA-PBE.

abc: 6.648 6.648 6.648
angles: 32.89 32.89 32.89
Atoms (fractional coordinates):
Cu1 0.000 0.000 0.000
Si1 0.454 0.454 0.454
Si2 0.747 0.747 0.747
Cl1 0.263 0.263 0.263


Entry 3:
Crystalline Cu3SiCl at its relaxed geometry, computed with GGA-PBE.

abc: 4.445 4.445 4.445
angles: 90.00 90.00 90.00
Atoms (fractional coordinates):
Cu1 0.000 0.000 0.500
Cu2 0.000 0.500 0.000
Cu3 0.500 0.000 0.000
Si1 0.500 0.500 0.500
Cl1 0.000 0.000 0.000


Entry 4:
Crystalline Cu2SiCl at its relaxed geometry, computed with GGA-PBE.

abc: 6.070 6.070 6.070
angles: 121.81 121.81 86.89
Atoms (fractional coordinates):
Cu1 0.111 0.625 0.986
Cu2 0.375 0.361 0.486
Cu3 0.639 0.125 0.014
Cu4 0.875 0.889 0.514
Si1 0.000 0.000 0.000
Si2 0.750 0.250 0.500
Cl1 0.250 0.750 0.500
Cl2 0.500 0.500 0.000


Entry 5:
Crystalline Cu2SiCl at its relaxed geometry, computed with GGA-PBE.

abc: 6.928 6.928 3.556
angles: 96.28 96.28 24.33
Atoms (fractional coordinates):
Cu1 0.000 0.000 0.000
Cu2 0.200 0.200 0.710
Si1 0.564 0.564 0.527
Cl1 0.819 0.819 0.000


Entry 6:
Crystalline Cu2SiCl at its relaxed geometry, computed with GGA-PBE.

abc: 4.766 4.766 4.766
angles: 129.95 129.95 73.48
Atoms (fractional coordinates):
Cu1 0.250 0.750 0.500
Cu2 0.750 0.250 0.500
Si1 0.000 0.000 0.000
Cl1 0.500 0.500 0.000


Entry 7:
Crystalline CuSi2Cl at its relaxed geometry, computed with GGA-PBE.

abc: 3.011 3.011 8.180
angles: 90.00 90.00 119.42
Atoms (fractional coordinates):
Cu1 0.000 0.000 0.000
Si1 0.500 0.500 0.235
Si2 0.500 0.500 0.765
Cl1 0.000 0.000 0.500


Entry 8:
Crystalline CuSi2Cl at its relaxed geometry, computed with GGA-PBE.

abc: 3.281 3.525 6.381
angles: 90.00 90.00 90.00
Atoms (fractional coordinates):
Cu1 0.000 0.000 0.000
Si1 0.000 0.500 0.377
Si2 0.500 0.000 0.274
Cl1 0.000 0.500 0.744


Entry 9:
Crystalline Cu2SiCl at its relaxed geometry, computed with GGA-PBE.

abc: 4.608 4.608 2.949
angles: 90.00 90.00 107.41
Atoms (fractional coordinates):
Cu1 0.000 0.500 0.000
Cu2 0.500 0.000 0.000
Si1 0.000 0.000 0.500
Cl1 0.500 0.500 0.500


Entry 10:
Crystalline Cu2SiCl at its relaxed geometry, computed with GGA-PBE.

abc: 3.261 3.261 7.575
angles: 90.00 90.00 125.31
Atoms (fractional coordinates):
Cu1 0.000 0.000 0.241
Cu2 0.000 0.000 0.759
Si1 0.500 0.500 0.000
Cl1 0.500 0.500 0.500


Entry 11:
Crystalline CuSi2Cl at its relaxed geometry, computed with GGA-PBE.

abc: 7.792 7.792 7.792
angles: 154.75 154.75 36.02
Atoms (fractional coordinates):
Cu1 0.000 0.000 0.000
Si1 0.250 0.750 0.500
Si2 0.750 0.250 0.500
Cl1 0.500 0.500 0.000


Entry 12:
Crystalline CuSiCl at its relaxed geometry, computed with GGA-PBE.

abc: 3.439 3.439 5.185
angles: 90.00 90.00 120.00
Atoms (fractional coordinates):
Cu1 0.000 0.000 0.000
Si1 0.333 0.667 0.260
Cl1 0.667 0.333 0.684


Entry 13:
Crystalline Cu2SiCl2 at its relaxed geometry, computed with GGA-PBE.

abc: 6.671 6.671 4.597
angles: 90.00 90.00 90.00
Atoms (fractional coordinates):
Cu1 0.218 0.282 0.000
Cu2 0.282 0.782 0.000
Cu3 0.718 0.218 0.000
Cu4 0.782 0.718 0.000
Si1 0.000 0.000 0.000
Si2 0.500 0.500 0.000
Cl1 0.197 0.303 0.500
Cl2 0.303 0.803 0.500
Cl3 0.697 0.197 0.500
Cl4 0.803 0.697 0.500


Entry 14:
Crystalline Cu2SiCl at its relaxed geometry, computed with GGA-PBE.

abc: 4.506 4.506 4.506
angles: 60.00 60.00 60.00
Atoms (fractional coordinates):
Cu1 0.000 0.000 0.000
Cu2 0.250 0.250 0.250
Si1 0.750 0.750 0.750
Cl1 0.500 0.500 0.500


Entry 15:
Crystalline CuSi2Cl at its relaxed geometry, computed with GGA-PBE.

abc: 4.482 4.482 4.482
angles: 60.00 60.00 60.00
Atoms (fractional coordinates):
Cu1 0.000 0.000 0.000
Si1 0.250 0.250 0.250
Si2 0.750 0.750 0.750
Cl1 0.500 0.500 0.500


| no. | DOS at the Fermi energy (states/eV per atom) | offset from the most stable computed form (meV/atom) | total magnetization (μB/cell) |
| --- | --- | --- | --- |
| 1 | 0.500 | 274 | 0.000 |
| 2 | 0.285 | 117 | 0.000 |
| 3 | 0.510 | 399 | 0.000 |
| 4 | 0.217 | 141 | 0.000 |
| 5 | 0.184 | 8 | 0.000 |
| 6 | 0.338 | 557 | 0.000 |
| 7 | 0.383 | 444 | 0.000 |
| 8 | 0.247 | 67 | 0.000 |
| 9 | 0.318 | 373 | 0.000 |
| 10 | 0.388 | 129 | 0.000 |
| 11 | 0.277 | 377 | 0.000 |
| 12 | 0.324 | 291 | 0.000 |
| 13 | 0.555 | 0 | 0.000 |
| 14 | 0.396 | 662 | 0.000 |
| 15 | 0.277 | 695 | 0.000 |